No. 1
# AcTb6SmY2

An optimized crystal structure of AcTb6SmY2 (PBE, Alexandria via LeMat-Bulk).

Cell: 9.5315 8.9396 8.9396 Å, 116.50 92.29 92.29°
With the nearest neighbours (Å) after each atom.
Sites, in units of the cell vectors:
Sm (0.2500, 0.4112, 0.5888)  6 Tb 3.50-3.54, 4 Y 3.58-3.85
Sm (0.7500, 0.5888, 0.4112)  6 Tb 3.50-3.54, 4 Y 3.58-3.85
Tb (0.1142, 0.7099, 0.4784)  4 Tb 3.23-3.50, 3 Y 3.33-3.51, 2 Sm 3.51-3.54
Tb (0.8214, 0.4511, 0.9906)  4 Tb 3.23-3.60, 2 Y 3.48-3.51, 1 Sm 3.50, 1 Ac 3.62
Tb (0.9411, 0.8815, 0.2449)  6 Tb 3.45-3.75, 1 Y 3.59, 2 Ac 3.75-3.83
Tb (0.3214, 0.9906, 0.4511)  4 Tb 3.23-3.60, 2 Y 3.48-3.51, 1 Sm 3.50, 1 Ac 3.62
Tb (0.3858, 0.5216, 0.2901)  4 Tb 3.23-3.50, 3 Y 3.33-3.51, 2 Sm 3.51-3.54
Tb (0.8858, 0.2901, 0.5216)  4 Tb 3.23-3.50, 3 Y 3.33-3.51, 2 Sm 3.51-3.54
Tb (0.1786, 0.5489, 0.0094)  4 Tb 3.23-3.60, 2 Y 3.48-3.51, 1 Sm 3.50, 1 Ac 3.62
Tb (0.6142, 0.4784, 0.7099)  4 Tb 3.23-3.50, 3 Y 3.33-3.51, 2 Sm 3.51-3.54
Tb (0.5589, 0.7551, 0.1185)  6 Tb 3.45-3.75, 1 Y 3.59, 2 Ac 3.75-3.83
Tb (0.0589, 0.1185, 0.7551)  6 Tb 3.45-3.75, 1 Y 3.59, 2 Ac 3.75-3.83
Tb (0.4411, 0.2449, 0.8815)  6 Tb 3.45-3.75, 1 Y 3.59, 2 Ac 3.75-3.83
Tb (0.6786, 0.0094, 0.5489)  4 Tb 3.23-3.60, 2 Y 3.48-3.51, 1 Sm 3.50, 1 Ac 3.62
Ac (0.7500, 0.0381, 0.9619)  4 Y 3.46-3.62, 6 Tb 3.62-3.83
Ac (0.2500, 0.9619, 0.0381)  4 Y 3.46-3.62, 6 Tb 3.62-3.83
Y (0.9479, 0.6905, 0.7965)  6 Tb 3.33-3.59, 2 Ac 3.46-3.62, 1 Sm 3.58
Y (0.5521, 0.2035, 0.3095)  6 Tb 3.33-3.59, 2 Ac 3.46-3.62, 1 Sm 3.58
Y (0.0521, 0.3095, 0.2035)  6 Tb 3.33-3.59, 2 Ac 3.46-3.62, 1 Sm 3.58
Y (0.4479, 0.7965, 0.6905)  6 Tb 3.33-3.59, 2 Ac 3.46-3.62, 1 Sm 3.58

## Properties
The calculated formation energy is 0.131 eV per atom. The value obtained for the density is 7.37 Mg/m³. For the density of states at the Fermi level, the calculation gives 1.473 states/eV/atom. As for the total energy: -4.823 eV/atom. As for the space-group type: C2/c, No. 15.

No. 2
# CdPI2

An optimized crystal structure of CdPI2 (PBE, Alexandria via LeMat-Bulk).

Cell: 5.3499 5.3499 5.3499 Å, 60.00 60.00 60.00°
With the nearest neighbours (Å) after each atom.
Sites, in units of the cell vectors:
Cd (0.5000, 0.5000, 0.5000)  8 I 3.28
I (0.2500, 0.2500, 0.2500)  4 Cd 3.28, 4 P 3.28
I (0.7500, 0.7500, 0.7500)  4 Cd 3.28, 4 P 3.28
P (0.0000, 0.0000, 0.0000)  8 I 3.28

## Properties
The value obtained for the density is 6.09 Mg/m³. The uncorrected formation energy is 0.62 eV per atom. For the density of states at the Fermi level, the calculation gives 0.923 states/eV/atom. The value obtained for the energy above the most stable polymorph in this dataset is 275 meV/atom. As for the total energy: -1.737 eV/atom. As for the space-group type: Fm-3m, No. 225.

No. 3
# Ti5ZnRh4

An optimized crystal structure of Ti5ZnRh4 (PBE, Alexandria via LeMat-Bulk).

Cell: 3.1626 3.1626 15.1134 Å, 90.00 90.00 90.00°
With the nearest neighbours (Å) after each atom.
Sites, in units of the cell vectors:
Rh (0.0000, 0.0000, 0.7992)  8 Ti 2.68-2.70
Rh (0.0000, 0.0000, 0.5994)  8 Ti 2.69-2.70, 1 Rh 3.01
Rh (0.0000, 0.0000, 0.2008)  8 Ti 2.68-2.70
Rh (0.0000, 0.0000, 0.4006)  8 Ti 2.69-2.70, 1 Rh 3.01
Ti (0.5000, 0.5000, 0.1027)  4 Rh 2.68, 4 Zn 2.72, 1 Ti 2.99
Ti (0.5000, 0.5000, 0.8973)  4 Rh 2.68, 4 Zn 2.72, 1 Ti 2.99
Ti (0.5000, 0.5000, 0.6993)  8 Rh 2.70, 2 Ti 2.99-3.01
Ti (0.5000, 0.5000, 0.5000)  8 Rh 2.69, 2 Ti 3.01
Ti (0.5000, 0.5000, 0.3007)  8 Rh 2.70, 2 Ti 2.99-3.01
Zn (0.0000, 0.0000, 0.0000)  8 Ti 2.72, 2 Rh 3.03

## Properties
The calculated formation energy is -0.632 eV per atom. The value obtained for the density is 7.87 Mg/m³. For the density of states at the Fermi level, the calculation gives 0.945 states/eV/atom. As for the total energy: -7.648 eV/atom. As for the space-group type: P4/mmm, No. 123.